1.
## Sr2NpS4 (PBE-GGA)

Data for a geometry-optimized Sr2NpS4 structure.

Summary:
Formation energy (no corrections): -1.782 eV/atom

```
Sr2NpS4
1.0
-2.9938 2.7299 -1.1571
-1.8000 -4.3721 -5.6576
-7.9933 -5.7910 7.0183
S Np Sr
8 2 4
direct
0.0000 0.8668 0.2967 S
0.0000 0.1332 0.7033 S
0.0000 0.6332 0.7967 S
0.5000 0.2272 0.4523 S
0.5000 0.2728 0.9523 S
0.0000 0.3668 0.2033 S
0.5000 0.7272 0.0477 S
0.5000 0.7728 0.5477 S
0.0000 0.5000 0.0000 Np
0.0000 0.0000 0.5000 Np
0.5000 0.4165 0.6826 Sr
0.5000 0.9165 0.8174 Sr
0.5000 0.0835 0.1826 Sr
0.5000 0.5835 0.3174 Sr
```

***

2.
## SrNpS2 (PBE-GGA)

Data for a geometry-optimized SrNpS2 structure.

Summary:
Formation energy (no corrections): -1.643 eV/atom

```
SrNpS2
1.0
-1.2569 -3.8344 0.5034
2.5826 -3.0822 -0.6050
2.2772 -2.0497 6.4969
Np S Sr
1 2 1
direct
0.0000 0.0000 0.0000 Np
0.7430 0.7430 0.7710 S
0.2570 0.2570 0.2290 S
0.5000 0.5000 0.5000 Sr
```

***

Repeat the first record exactly.
## Sr2NpS4 (PBE-GGA)

Data for a geometry-optimized Sr2NpS4 structure.

Summary:
Formation energy (no corrections): -1.782 eV/atom

```
Sr2NpS4
1.0
-2.9938 2.7299 -1.1571
-1.8000 -4.3721 -5.6576
-7.9933 -5.7910 7.0183
S Np Sr
8 2 4
direct
0.0000 0.8668 0.2967 S
0.0000 0.1332 0.7033 S
0.0000 0.6332 0.7967 S
0.5000 0.2272 0.4523 S
0.5000 0.2728 0.9523 S
0.0000 0.3668 0.2033 S
0.5000 0.7272 0.0477 S
0.5000 0.7728 0.5477 S
0.0000 0.5000 0.0000 Np
0.0000 0.0000 0.5000 Np
0.5000 0.4165 0.6826 Sr
0.5000 0.9165 0.8174 Sr
0.5000 0.0835 0.1826 Sr
0.5000 0.5835 0.3174 Sr
```

***

Question: Look up the formation energy (no corrections) of the second one.
Answer: -1.643 eV/atom